[1]
# MgReRu2 | Alexandria via LeMat-Bulk | GGA-PBE | relaxed
# crystal system = monoclinic
# DOS at the Fermi energy = 3.82 states/eV/cell
# calculated formation energy = 0.11 eV per atom
# ρ = 11.49 g cm⁻³
data_MgReRu2
_chemical_formula_sum 'Mg1 Re1 Ru2'
_symmetry_space_group_name_H-M 'P 1'
_symmetry_Int_Tables_number 1
_cell_length_a 5.0875
_cell_length_b 5.0875
_cell_length_c 4.6703
_cell_angle_alpha 110.62
_cell_angle_beta 110.62
_cell_angle_gamma 32.00
loop_
_symmetry_equiv_pos_as_xyz
'x,y,z'
loop_
_atom_site_label
_atom_site_type_symbol
_atom_site_fract_x
_atom_site_fract_y
_atom_site_fract_z
Mg1 Mg 0.0000 0.0000 0.0000
Re1 Re 0.7773 0.7773 0.3822
Ru1 Ru 0.2425 0.2425 0.8725
Ru2 Ru 0.5181 0.5181 0.4993

[2]
# SmInSnAu | Alexandria via LeMat-Bulk | GGA-PBE | relaxed
# crystal system = cubic
# DOS at the Fermi energy = 3.82 states/eV/cell
# calculated formation energy = -0.40 eV per atom
# ρ = 9.72 g cm⁻³
data_SmInSnAu
_chemical_formula_sum 'Sm1 In1 Sn1 Au1'
_symmetry_space_group_name_H-M 'P 1'
_symmetry_Int_Tables_number 1
_cell_length_a 5.1963
_cell_length_b 5.1963
_cell_length_c 5.1963
_cell_angle_alpha 60.00
_cell_angle_beta 60.00
_cell_angle_gamma 60.00
loop_
_symmetry_equiv_pos_as_xyz
'x,y,z'
loop_
_atom_site_label
_atom_site_type_symbol
_atom_site_fract_x
_atom_site_fract_y
_atom_site_fract_z
Sm1 Sm 0.0000 0.0000 0.0000
In1 In 0.5000 0.5000 0.5000
Sn1 Sn 0.7500 0.7500 0.7500
Au1 Au 0.2500 0.2500 0.2500

[3]
# AcY2Ge4 | Alexandria via LeMat-Bulk | GGA-PBE | relaxed
# crystal system = orthorhombic
# DOS at the Fermi energy = 2.81 states/eV/cell
# calculated formation energy = -0.76 eV per atom
# ρ = 6.67 g cm⁻³
data_AcY2Ge4
_chemical_formula_sum 'Ac1 Y2 Ge4'
_symmetry_space_group_name_H-M 'P 1'
_symmetry_Int_Tables_number 1
_cell_length_a 10.2571
_cell_length_b 10.2571
_cell_length_c 10.2571
_cell_angle_alpha 157.53
_cell_angle_beta 155.14
_cell_angle_gamma 33.75
loop_
_symmetry_equiv_pos_as_xyz
'x,y,z'
loop_
_atom_site_label
_atom_site_type_symbol
_atom_site_fract_x
_atom_site_fract_y
_atom_site_fract_z
Ac1 Ac 0.0000 0.0000 0.0000
Y1 Y 0.1842 0.6842 0.5000
Y2 Y 0.8158 0.3158 0.5000
Ge1 Ge 0.3358 0.8358 0.5000
Ge2 Ge 0.4226 0.4226 0.0000
Ge3 Ge 0.5774 0.5774 0.0000
Ge4 Ge 0.6642 0.1642 0.5000

[4]
# BeRh2O2 | Alexandria via LeMat-Bulk | GGA-PBE | relaxed
# crystal system = tetragonal
# DOS at the Fermi energy = 4.65 states/eV/cell
# formation energy without anion corrections = 0.59 eV per formula unit
# ρ = 7.23 g cm⁻³
data_BeRh2O2
_chemical_formula_sum 'Be2 Rh4 O4'
_symmetry_space_group_name_H-M 'P 1'
_symmetry_Int_Tables_number 1
_cell_length_a 6.1107
_cell_length_b 6.1107
_cell_length_c 3.0344
_cell_angle_alpha 90.00
_cell_angle_beta 90.00
_cell_angle_gamma 90.00
loop_
_symmetry_equiv_pos_as_xyz
'x,y,z'
loop_
_atom_site_label
_atom_site_type_symbol
_atom_site_fract_x
_atom_site_fract_y
_atom_site_fract_z
Be1 Be 0.0000 0.0000 0.0000
Be2 Be 0.5000 0.5000 0.0000
Rh1 Rh 0.1864 0.3136 0.0000
Rh2 Rh 0.3136 0.8136 0.0000
Rh3 Rh 0.6864 0.1864 0.0000
Rh4 Rh 0.8136 0.6864 0.0000
O1 O 0.1570 0.6570 0.5000
O2 O 0.3430 0.1570 0.5000
O3 O 0.6570 0.8430 0.5000
O4 O 0.8430 0.3430 0.5000

[5]
# PtSBr3 | Alexandria via LeMat-Bulk | GGA-PBE | relaxed
# crystal system = cubic
# DOS at the Fermi energy = 3.38 states/eV/cell
# formation energy without anion corrections = 2.57 eV per formula unit
# ρ = 5.65 g cm⁻³
data_PtSBr3
_chemical_formula_sum 'Pt1 S1 Br3'
_symmetry_space_group_name_H-M 'P 1'
_symmetry_Int_Tables_number 1
_cell_length_a 5.1581
_cell_length_b 5.1581
_cell_length_c 5.1581
_cell_angle_alpha 90.00
_cell_angle_beta 90.00
_cell_angle_gamma 90.00
loop_
_symmetry_equiv_pos_as_xyz
'x,y,z'
loop_
_atom_site_label
_atom_site_type_symbol
_atom_site_fract_x
_atom_site_fract_y
_atom_site_fract_z
Pt1 Pt 0.0000 0.0000 0.0000
S1 S 0.5000 0.5000 0.5000
Br1 Br 0.0000 0.0000 0.5000
Br2 Br 0.0000 0.5000 0.0000
Br3 Br 0.5000 0.0000 0.0000

[6]
# MgFeNi2H | Alexandria via LeMat-Bulk | GGA-PBE | relaxed
# raw total energy = -5.0152 eV/atom
# crystal system = tetragonal
# DOS at the Fermi energy = 4.78 states/eV/cell
# ρ = 6.36 g cm⁻³
data_MgFeNi2H
_chemical_formula_sum 'Mg1 Fe1 Ni2 H1'
_symmetry_space_group_name_H-M 'P 1'
_symmetry_Int_Tables_number 1
_cell_length_a 3.7316
_cell_length_b 3.7316
_cell_length_c 3.7209
_cell_angle_alpha 90.00
_cell_angle_beta 90.00
_cell_angle_gamma 90.00
loop_
_symmetry_equiv_pos_as_xyz
'x,y,z'
loop_
_atom_site_label
_atom_site_type_symbol
_atom_site_fract_x
_atom_site_fract_y
_atom_site_fract_z
Mg1 Mg 0.0000 0.0000 0.0000
Fe1 Fe 0.5000 0.5000 0.0000
Ni1 Ni 0.0000 0.5000 0.5000
Ni2 Ni 0.5000 0.0000 0.5000
H1 H 0.5000 0.5000 0.5000

[7]
# LiPuMnCo | Alexandria via LeMat-Bulk | GGA-PBE | relaxed
# crystal system = cubic
# DOS at the Fermi energy = 4.41 states/eV/cell
# calculated formation energy = 0.15 eV per atom
# ρ = 10.61 g cm⁻³
data_LiPuMnCo
_chemical_formula_sum 'Li1 Pu1 Mn1 Co1'
_symmetry_space_group_name_H-M 'P 1'
_symmetry_Int_Tables_number 1
_cell_length_a 4.3228
_cell_length_b 4.3228
_cell_length_c 4.3228
_cell_angle_alpha 60.00
_cell_angle_beta 60.00
_cell_angle_gamma 60.00
loop_
_symmetry_equiv_pos_as_xyz
'x,y,z'
loop_
_atom_site_label
_atom_site_type_symbol
_atom_site_fract_x
_atom_site_fract_y
_atom_site_fract_z
Li1 Li 0.0000 0.0000 0.0000
Pu1 Pu 0.5000 0.5000 0.5000
Mn1 Mn 0.2500 0.2500 0.2500
Co1 Co 0.7500 0.7500 0.7500

[8]
# NdNbAs2 | Alexandria via LeMat-Bulk | GGA-PBE | relaxed
# crystal system = tetragonal
# DOS at the Fermi energy = 4.68 states/eV/cell
# calculated formation energy = -0.60 eV per atom
# ρ = 6.72 g cm⁻³
data_NdNbAs2
_chemical_formula_sum 'Nd1 Nb1 As2'
_symmetry_space_group_name_H-M 'P 1'
_symmetry_Int_Tables_number 1
_cell_length_a 7.0509
_cell_length_b 7.0509
_cell_length_c 7.0509
_cell_angle_alpha 148.46
_cell_angle_beta 148.46
_cell_angle_gamma 45.21
loop_
_symmetry_equiv_pos_as_xyz
'x,y,z'
loop_
_atom_site_label
_atom_site_type_symbol
_atom_site_fract_x
_atom_site_fract_y
_atom_site_fract_z
Nd1 Nd 0.0000 0.0000 0.0000
Nb1 Nb 0.2500 0.7500 0.5000
As1 As 0.3766 0.3766 0.0000
As2 As 0.6234 0.6234 0.0000

The lowest DOS at the Fermi energy belongs to which entry? AcY2Ge4